Computed, not measured: Co2BF2 after structural relaxation at the GGA+U level of DFT.

POSCAR file:
```
Co2BF2
1.0
-4.802 -1.096 2.532
0.910 -5.428 -0.623
1.820 -0.087 3.415
F Co B
4 4 2
Direct
0.327 0.173 0.500
0.827 0.327 0.500
0.673 0.827 0.500
0.173 0.673 0.500
0.312 0.188 0.000
0.688 0.812 0.000
0.188 0.688 0.000
0.812 0.312 0.000
0.000 0.000 0.000
0.500 0.500 0.000
```

Results
As for the size of the total moment: 0.655 μB/atom. For the offset from the most stable computed form, the calculation gives 0.000 eV/atom. As for the space group: P4/mbm. The value obtained for the volume is 11.87 Å³/atom.